[1]
Entry from the Alexandria database: a relaxed structure of CaTcPb (PBE).

Unit cell a=4.8810 b=4.8810 c=3.4399 alpha=90.00 beta=90.00 gamma=120.00
Closest atoms and distances in Å follow each position.
Fractional coordinates of all 3 atoms:
Ca: 0.0000 0.0000 0.0000  6 Tc 3.30, 6 Pb 3.30, 2 Ca 3.44
Tc: 0.3333 0.6667 0.5000  3 Pb 2.82
Pb: 0.6667 0.3333 0.5000  3 Tc 2.82

Summary:
Polymorph energy (0 for the lowest one)   0.088 eV per atom
Calculated formation energy   0.382 eV per atom
Space group   No. 187
Crystal system   hexagonal



[2]
Entry from the Alexandria database: a relaxed structure of BaCeHg2 (PBE).

Unit cell a=9.7631 b=9.7631 c=9.7631 alpha=24.70 beta=24.70 gamma=24.70
Closest atoms and distances in Å follow each position.
Fractional coordinates of all 4 atoms:
Ba: 0.0000 0.0000 0.0000  6 Hg 3.54
Ce: 0.5000 0.5000 0.5000  6 Hg 3.22
Hg: 0.2420 0.2420 0.2420  3 Ce 3.22, 3 Ba 3.54
Hg: 0.7580 0.7580 0.7580  3 Ce 3.22, 3 Ba 3.54

Summary:
Calculated formation energy   -0.202 eV per atom
Space group   No. 166
Crystal system   trigonal



[3]
Entry from the Alexandria database: a relaxed structure of Rb2MgCI6 (PBE).

Unit cell a=8.0124 b=8.0124 c=8.0124 alpha=119.98 beta=119.98 gamma=90.04
Closest atoms and distances in Å follow each position.
Fractional coordinates of all 10 atoms:
Rb: 0.2500 0.7500 0.5000  12 I 4.01
Rb: 0.7500 0.2500 0.5000  12 I 4.01
Mg: 0.0000 0.0000 0.0000  6 I 2.96
C: 0.5000 0.5000 0.0000  6 I 2.71
I: 0.2609 0.2609 0.0000  1 C 2.71, 1 Mg 2.96
I: 0.2609 0.2609 0.5218  1 C 2.71, 1 Mg 2.96
I: 0.2609 0.7391 0.0000  1 C 2.71, 1 Mg 2.96
I: 0.7391 0.2609 0.0000  1 C 2.71, 1 Mg 2.96
I: 0.7391 0.7391 0.0000  1 C 2.71, 1 Mg 2.96
I: 0.7391 0.7391 0.4782  1 C 2.71, 1 Mg 2.96

Summary:
Space group   No. 139
Formation energy (no corrections)   -0.34 eV/atom
Crystal system   tetragonal



[4]
Entry from the Alexandria database: a relaxed structure of K4Br3O4 (PBE).

Unit cell a=9.4353 b=9.4353 c=9.4353 alpha=150.45 beta=129.24 gamma=59.83
Closest atoms and distances in Å follow each position.
Fractional coordinates of all 11 atoms:
K: 0.2324 0.2324 0.0000  4 O 2.77
K: 0.2694 0.5000 0.7694  2 O 3.02, 2 Br 3.25
K: 0.7306 0.5000 0.2306  2 O 3.02, 2 Br 3.25
K: 0.7676 0.7676 0.0000  4 O 2.77
Br: 0.0000 0.0000 0.0000  4 K 3.25, 8 O 3.60
Br: 0.3757 0.8757 0.5000  6 K 3.36-3.66, 2 O 3.60
Br: 0.6243 0.1243 0.5000  6 K 3.36-3.66, 2 O 3.60
O: 0.0790 0.6589 0.4201  1 O 1.29
O: 0.2388 0.6589 0.5799  1 O 1.29
O: 0.7612 0.3411 0.4201  1 O 1.29
O: 0.9210 0.3411 0.5799  1 O 1.29

Summary:
Space group   No. 71
Formation energy (no corrections)   -1.11 eV/atom
Crystal system   orthorhombic



[5]
Entry from the Alexandria database: a relaxed structure of TlGaAsOs2 (PBE).

Unit cell a=4.5984 b=4.5984 c=5.6189 alpha=90.00 beta=90.00 gamma=90.00
Closest atoms and distances in Å follow each position.
Fractional coordinates of all 5 atoms:
Tl: 0.0000 0.0000 0.0000  2 As 2.81
Ga: 0.5000 0.5000 0.0000  4 Tl 3.25, 8 Os 3.63
As: 0.0000 0.0000 0.5000  4 Os 2.30
Os: 0.0000 0.5000 0.5000  2 As 2.30
Os: 0.5000 0.0000 0.5000  2 As 2.30

Summary:
Calculated formation energy   1.382 eV per atom
Space group   No. 123
Crystal system   tetragonal



[6]
Entry from the Alexandria database: a relaxed structure of Mg2NiAu6 (PBE).

Unit cell a=7.3159 b=7.3159 c=7.3159 alpha=148.12 beta=119.22 gamma=70.28
Closest atoms and distances in Å follow each position.
Fractional coordinates of all 9 atoms:
Mg: 0.1495 0.1495 0.0000  8 Au 2.75-2.83
Mg: 0.8505 0.8505 0.0000  8 Au 2.75-2.83
Ni: 0.5000 0.5000 0.0000  8 Au 2.58-2.63
Au: 0.1017 0.3332 0.7685  1 Ni 2.63, 3 Mg 2.79-2.83, 4 Au 2.83-2.84
Au: 0.2815 0.0000 0.2815  2 Ni 2.58, 2 Mg 2.75, 4 Au 2.83
Au: 0.4353 0.6668 0.7685  1 Ni 2.63, 3 Mg 2.79-2.83, 4 Au 2.83-2.84
Au: 0.5647 0.3332 0.2315  1 Ni 2.63, 3 Mg 2.79-2.83, 4 Au 2.83-2.84
Au: 0.7185 0.0000 0.7185  2 Ni 2.58, 2 Mg 2.75, 4 Au 2.83
Au: 0.8983 0.6668 0.2315  1 Ni 2.63, 3 Mg 2.79-2.83, 4 Au 2.83-2.84

Summary:
Calculated formation energy   -0.168 eV per atom
Space group   No. 71
Crystal system   orthorhombic



[7]
Entry from the Alexandria database: a relaxed structure of Re2PdAu (PBE).

Unit cell a=6.9607 b=6.9607 c=6.9607 alpha=131.86 beta=131.86 gamma=70.45
Closest atoms and distances in Å follow each position.
Fractional coordinates of all 8 atoms:
Re: 0.1138 0.6250 0.9888  2 Pd 2.42, 2 Au 2.50
Re: 0.3750 0.3638 0.4888  2 Pd 2.42, 2 Au 2.50
Re: 0.6362 0.1250 0.0112  2 Pd 2.42, 2 Au 2.50
Re: 0.8750 0.8862 0.5112  2 Pd 2.42, 2 Au 2.50
Pd: 0.0000 0.0000 0.0000  4 Re 2.42
Pd: 0.7500 0.2500 0.5000  4 Re 2.42
Au: 0.2500 0.7500 0.5000  4 Re 2.50
Au: 0.5000 0.5000 0.0000  4 Re 2.50

Summary:
Polymorph energy (0 for the lowest one)   1.133 eV per atom
Calculated formation energy   1.943 eV per atom
Space group   No. 122
Crystal system   tetragonal



[8]
Entry from the Alexandria database: a relaxed structure of LiCuPd (PBE).

Unit cell a=6.8746 b=6.8746 c=4.7973 alpha=108.53 beta=108.53 gamma=22.78
Closest atoms and distances in Å follow each position.
Fractional coordinates of all 6 atoms:
Li: 0.0865 0.0865 0.4200  3 Pd 2.59-2.64, 3 Li 2.68-2.72, 6 Cu 2.70-2.81
Li: 0.9135 0.9135 0.5800  3 Pd 2.59-2.64, 3 Li 2.68-2.72, 6 Cu 2.70-2.81
Cu: 0.4187 0.4187 0.0718  3 Cu 2.50-2.72, 3 Pd 2.66-2.67, 4 Li 2.70
Cu: 0.5813 0.5813 0.9282  3 Cu 2.50-2.72, 3 Pd 2.66-2.67, 4 Li 2.70
Pd: 0.2498 0.2498 0.2474  3 Li 2.59-2.64, 3 Cu 2.66-2.67, 6 Pd 2.72-2.78
Pd: 0.7502 0.7502 0.7526  3 Li 2.59-2.64, 3 Cu 2.66-2.67, 6 Pd 2.72-2.78

Summary:
Polymorph energy (0 for the lowest one)   0.081 eV per atom
Calculated formation energy   -0.183 eV per atom
Space group   No. 12
Crystal system   monoclinic



[9]
Entry from the Alexandria database: a relaxed structure of ScIBr3 (PBE).

Unit cell a=11.2757 b=6.7455 c=13.3817 alpha=90.00 beta=90.00 gamma=90.00
Closest atoms and distances in Å follow each position.
Fractional coordinates of all 20 atoms:
Sc: 0.0494 0.2500 0.0462  5 Br 2.43-2.62
Sc: 0.4506 0.7500 0.5462  5 Br 2.43-2.62
Sc: 0.5494 0.2500 0.4538  5 Br 2.43-2.62
Sc: 0.9506 0.7500 0.9538  5 Br 2.43-2.62
I: 0.0000 0.0000 0.5000  2 I 3.37
I: 0.0000 0.5000 0.5000  2 I 3.37
I: 0.5000 0.0000 0.0000  2 I 3.37
I: 0.5000 0.5000 0.0000  2 I 3.37
Br: 0.1195 0.0005 0.9079  2 Sc 2.62
Br: 0.1195 0.4995 0.9079  2 Sc 2.62
Br: 0.1941 0.2500 0.1808  1 Sc 2.43
Br: 0.3059 0.7500 0.6808  1 Sc 2.43
Br: 0.3805 0.9995 0.4079  2 Sc 2.62
Br: 0.3805 0.5005 0.4079  2 Sc 2.62
Br: 0.6195 0.0005 0.5921  2 Sc 2.62
Br: 0.6195 0.4995 0.5921  2 Sc 2.62
Br: 0.6941 0.2500 0.3192  1 Sc 2.43
Br: 0.8059 0.7500 0.8192  1 Sc 2.43
Br: 0.8805 0.9995 0.0921  2 Sc 2.62
Br: 0.8805 0.5005 0.0921  2 Sc 2.62

Summary:
Polymorph energy (0 for the lowest one)   0.138 eV per atom
Space group   No. 62
Formation energy (no corrections)   -1.20 eV/atom
Crystal system   orthorhombic



[10]
Entry from the Alexandria database: a relaxed structure of IrCl3 (PBE).

Unit cell a=7.0618 b=7.0618 c=7.0618 alpha=154.23 beta=139.97 gamma=48.22
Closest atoms and distances in Å follow each position.
Fractional coordinates of all 4 atoms:
Ir: 0.0000 0.0000 0.0000  4 Cl 2.38
Cl: 0.1389 0.6389 0.5000  2 Ir 2.38
Cl: 0.5000 0.5000 0.0000  4 Ir 2.88, 6 Cl 3.01-3.15
Cl: 0.8611 0.3611 0.5000  2 Ir 2.38

Summary:
Space group   No. 71
Formation energy (no corrections)   0.12 eV/atom
Crystal system   orthorhombic



[11]
Entry from the Alexandria database: a relaxed structure of Na3Sc3GeSe8 (PBE).

Unit cell a=8.3834 b=8.3834 c=8.3834 alpha=55.17 beta=55.17 gamma=55.17
Closest atoms and distances in Å follow each position.
Fractional coordinates of all 15 atoms:
Na: 0.0000 0.5000 0.5000  6 Se 3.00-3.01
Na: 0.5000 0.0000 0.5000  6 Se 3.00-3.01
Na: 0.5000 0.5000 0.0000  6 Se 3.00-3.01
Sc: 0.0000 0.0000 0.5000  6 Se 2.72
Sc: 0.0000 0.5000 0.0000  6 Se 2.72
Sc: 0.5000 0.0000 0.0000  6 Se 2.72
Ge: 0.5000 0.5000 0.5000  6 Se 2.64
Se: 0.2393 0.2393 0.2393  3 Sc 2.72, 3 Na 3.00
Se: 0.2470 0.7323 0.7323  1 Ge 2.64, 2 Sc 2.72
Se: 0.2677 0.2677 0.7530  1 Ge 2.64, 2 Sc 2.72
Se: 0.2677 0.7530 0.2677  1 Ge 2.64, 2 Sc 2.72
Se: 0.7323 0.2470 0.7323  1 Ge 2.64, 2 Sc 2.72
Se: 0.7323 0.7323 0.2470  1 Ge 2.64, 2 Sc 2.72
Se: 0.7530 0.2677 0.2677  1 Ge 2.64, 2 Sc 2.72
Se: 0.7607 0.7607 0.7607  3 Sc 2.72, 3 Na 3.00

Summary:
Space group   No. 166
Formation energy (no corrections)   -1.27 eV/atom
Crystal system   trigonal



[12]
Entry from the Alexandria database: a relaxed structure of SrLiAc2Se4 (PBE).

Unit cell a=7.5819 b=7.5819 c=15.3142 alpha=90.00 beta=90.00 gamma=146.72
Closest atoms and distances in Å follow each position.
Fractional coordinates of all 16 atoms:
Sr: 0.1140 0.8860 0.7500  6 Se 3.24-3.27
Sr: 0.8860 0.1140 0.2500  6 Se 3.24-3.27
Li: 0.1536 0.8464 0.2500  4 Se 2.59-2.63
Li: 0.8464 0.1536 0.7500  4 Se 2.59-2.63
Ac: 0.3670 0.6330 0.5597  6 Se 3.05-3.19
Ac: 0.3670 0.6330 0.9403  6 Se 3.05-3.19
Ac: 0.6330 0.3670 0.0597  6 Se 3.05-3.19
Ac: 0.6330 0.3670 0.4403  6 Se 3.05-3.19
Se: 0.0000 0.0000 0.0000  4 Ac 3.05
Se: 0.0000 0.0000 0.5000  4 Ac 3.05
Se: 0.2771 0.7229 0.1280  1 Li 2.59
Se: 0.2771 0.7229 0.3720  1 Li 2.59
Se: 0.4486 0.5514 0.7500  2 Li 2.63
Se: 0.5514 0.4486 0.2500  2 Li 2.63
Se: 0.7229 0.2771 0.6280  1 Li 2.59
Se: 0.7229 0.2771 0.8720  1 Li 2.59

Summary:
Space group   No. 63
Formation energy (no corrections)   -1.80 eV/atom
Crystal system   orthorhombic



[13]
Entry from the Alexandria database: a relaxed structure of ZnIrOs (PBE).

Unit cell a=4.6542 b=4.6542 c=4.6542 alpha=145.44 beta=131.08 gamma=61.28
Closest atoms and distances in Å follow each position.
Fractional coordinates of all 3 atoms:
Zn: 0.0000 0.0000 0.0000  5 Ir 2.66-2.73, 5 Os 2.66-2.72, 2 Zn 2.77
Ir: 0.6679 0.6679 0.0000  5 Zn 2.66-2.73, 5 Os 2.68-2.71, 2 Ir 2.77
Os: 0.3327 0.3327 0.0000  5 Zn 2.66-2.72, 5 Ir 2.68-2.71, 2 Os 2.77

Summary:
Polymorph energy (0 for the lowest one)   0.104 eV per atom
Calculated formation energy   0.133 eV per atom
Space group   No. 44
Crystal system   orthorhombic



[14]
Entry from the Alexandria database: a relaxed structure of LiSb2Ru (PBE).

Unit cell a=4.6952 b=4.6952 c=4.6952 alpha=60.00 beta=60.00 gamma=60.00
Closest atoms and distances in Å follow each position.
Fractional coordinates of all 4 atoms:
Li: 0.0000 0.0000 0.0000  8 Sb 2.88
Sb: 0.2500 0.2500 0.2500  4 Li 2.88, 4 Ru 2.88
Sb: 0.7500 0.7500 0.7500  4 Li 2.88, 4 Ru 2.88
Ru: 0.5000 0.5000 0.5000  8 Sb 2.88

Summary:
Polymorph energy (0 for the lowest one)   0.010 eV per atom
Space group   No. 225
Formation energy (no corrections)   -0.18 eV/atom
Crystal system   cubic



[15]
Entry from the Alexandria database: a relaxed structure of Sc2Re2Tc (PBE).

Unit cell a=6.4563 b=6.4563 c=4.4708 alpha=90.00 beta=90.00 gamma=90.00
Closest atoms and distances in Å follow each position.
Fractional coordinates of all 10 atoms:
Sc: 0.1755 0.3245 0.0000  6 Re 2.83-3.01
Sc: 0.3245 0.8245 0.0000  6 Re 2.83-3.01
Sc: 0.6755 0.1755 0.0000  6 Re 2.83-3.01
Sc: 0.8245 0.6755 0.0000  6 Re 2.83-3.01
Re: 0.1336 0.6336 0.5000  1 Re 2.44, 2 Tc 2.52
Re: 0.3664 0.1336 0.5000  1 Re 2.44, 2 Tc 2.52
Re: 0.6336 0.8664 0.5000  1 Re 2.44, 2 Tc 2.52
Re: 0.8664 0.3664 0.5000  1 Re 2.44, 2 Tc 2.52
Tc: 0.0000 0.0000 0.5000  4 Re 2.52
Tc: 0.5000 0.5000 0.5000  4 Re 2.52

Summary:
Calculated formation energy   0.010 eV per atom
Space group   No. 127
Crystal system   tetragonal



[16]
Entry from the Alexandria database: a relaxed structure of Ba2YBeRu (PBE).

Unit cell a=6.7077 b=6.7077 c=4.7284 alpha=90.00 beta=90.00 gamma=90.00
Closest atoms and distances in Å follow each position.
Fractional coordinates of all 5 atoms:
Ba: 0.0000 0.5000 0.0000  2 Y 3.35
Ba: 0.5000 0.0000 0.0000  2 Y 3.35
Y: 0.0000 0.0000 0.0000  2 Ru 2.36
Be: 0.5000 0.5000 0.5000  8 Ba 4.10
Ru: 0.0000 0.0000 0.5000  2 Y 2.36

Summary:
Calculated formation energy   1.186 eV per atom
Space group   No. 123
Crystal system   tetragonal



[17]
Entry from the Alexandria database: a relaxed structure of InSb2TeS (PBE).

Unit cell a=5.2933 b=5.2933 c=5.3597 alpha=90.00 beta=90.00 gamma=90.00
Closest atoms and distances in Å follow each position.
Fractional coordinates of all 5 atoms:
In: 0.0000 0.0000 0.0000  4 Te 3.74, 8 Sb 3.77
Sb: 0.0000 0.5000 0.5000  2 S 2.65
Sb: 0.5000 0.0000 0.5000  2 S 2.65
Te: 0.5000 0.5000 0.0000  2 S 2.68
S: 0.5000 0.5000 0.5000  4 Sb 2.65, 2 Te 2.68

Summary:
Polymorph energy (0 for the lowest one)   0.000 eV per atom
Space group   No. 123
Formation energy (no corrections)   0.39 eV/atom
Crystal system   tetragonal



[18]
Entry from the Alexandria database: a relaxed structure of NdHo7Er2 (PBE).

Unit cell a=9.1014 b=9.1014 c=5.5990 alpha=90.00 beta=90.00 gamma=122.80
Closest atoms and distances in Å follow each position.
Fractional coordinates of all 10 atoms:
Nd: 0.0000 0.0000 0.0000  10 Ho 3.47-3.69
Ho: 0.0613 0.2923 0.5000  2 Ho 3.08-3.37, 2 Er 3.15-3.28
Ho: 0.2174 0.7826 0.0000  2 Er 3.07
Ho: 0.2923 0.0613 0.5000  2 Ho 3.08-3.37, 2 Er 3.15-3.28
Ho: 0.5000 0.5000 0.5000  2 Er 3.25, 4 Ho 3.37
Ho: 0.7077 0.9387 0.5000  2 Ho 3.08-3.37, 2 Er 3.15-3.28
Ho: 0.7826 0.2174 0.0000  2 Er 3.07
Ho: 0.9387 0.7077 0.5000  2 Ho 3.08-3.37, 2 Er 3.15-3.28
Er: 0.2966 0.7034 0.5000  7 Ho 3.07-3.28
Er: 0.7034 0.2966 0.5000  7 Ho 3.07-3.28

Summary:
Polymorph energy (0 for the lowest one)   0.684 eV per atom
Calculated formation energy   0.705 eV per atom
Space group   No. 65
Crystal system   orthorhombic



[19]
Entry from the Alexandria database: a relaxed structure of YEr2Sc2Al2 (PBE).

Unit cell a=8.4890 b=8.4890 c=8.4890 alpha=34.47 beta=34.47 gamma=34.47
Closest atoms and distances in Å follow each position.
Fractional coordinates of all 7 atoms:
Y: 0.0000 0.0000 0.0000  2 Er 3.24, 6 Al 3.30, 6 Sc 3.34
Er: 0.1352 0.1352 0.1352  4 Al 3.17-3.35, 1 Y 3.24, 3 Er 3.27, 3 Sc 3.31
Er: 0.8648 0.8648 0.8648  4 Al 3.17-3.35, 1 Y 3.24, 3 Er 3.27, 3 Sc 3.31
Sc: 0.4021 0.4021 0.4021  4 Al 2.91-3.22
Sc: 0.5979 0.5979 0.5979  4 Al 2.91-3.22
Al: 0.2677 0.2677 0.2677  4 Sc 2.91-3.22, 1 Er 3.17
Al: 0.7323 0.7323 0.7323  4 Sc 2.91-3.22, 1 Er 3.17

Summary:
Calculated formation energy   -0.192 eV per atom
Space group   No. 166
Crystal system   trigonal